Below is a relaxed Th6CSe3N2 crystal, with properties calculated at the PBE level.

```
Th6CSe3N2
1.0
-2.563 -0.070 -2.855
4.721 -5.306 -4.108
-4.349 -4.466 6.591
Th Se C N
6 3 1 2
Direct
0.678 0.557 0.357
0.988 0.775 0.975
0.343 0.888 0.686
0.657 0.112 0.314
0.012 0.225 0.025
0.322 0.443 0.643
0.835 0.167 0.670
0.500 0.500 0.000
0.165 0.833 0.330
0.500 0.000 0.000
0.832 0.664 0.665
0.168 0.336 0.335
```

Properties
As for the formation energy from raw total energies: -1.380 eV/atom. As for the symmetry: C2/m (12).